DFT (meta-GGA SCAN) results for a crystal of Nb6I11 relaxed with PBEsol.

a = 11.414 Å, b = 15.573 Å, c = 13.329 Å
α = 90.00°, β = 90.00°, γ = 90.00°
Space group Pccn (No. 56)
One atom of each set of equivalent atoms:
Nb (0.073, 0.052, 0.121) [8 per cell]
Nb (0.098, 0.604, 0.522) [8 per cell]
Nb (0.127, 0.050, 0.915) [8 per cell]
I (0.038, 0.604, 0.732) [8 per cell]
I (0.098, 0.212, 0.016) [8 per cell]
I (0.150, 0.612, 0.313) [8 per cell]
I (0.183, 0.127, 0.298) [8 per cell]
I (0.198, 0.000, 0.557) [8 per cell]
I (0.250, 0.750, 0.067) [4 per cell]

DFT (meta-GGA SCAN) results for a crystal of NbNi2RhI relaxed with PBEsol.

a = 4.583 Å, b = 4.583 Å, c = 4.722 Å
α = 90.00°, β = 90.00°, γ = 90.00°
Space group P4/mmm (No. 123)
One atom of each set of equivalent atoms:
Nb (0.000, 0.000, 0.000) [1 per cell]
Ni (0.000, 0.500, 0.000) [2 per cell]
Rh (0.000, 0.000, 0.500) [1 per cell]
I (0.500, 0.500, 0.500) [1 per cell]

Energy
In order: -36.00, -25.87
Unit: eV/atom
Formation energy (no corrections)
In order: -537, 1329
Unit: meV/atom